Density functional theory data (PBE-GGA) for a geometry-optimized NdTmLuHf structure.

Calculated values
E_form, eV/atom: 0.272
Total DFT energy (no corrections), eV per atom: -5.66

Cell lengths 5.448, 5.448, 5.448 Å; angles 60.00, 60.00, 60.00 degrees
Sites, in units of the cell vectors:
Nd  0.750  0.750  0.750
Tm  0.500  0.500  0.500
Lu  0.000  0.000  0.000
Hf  0.250  0.250  0.250